PaCdAs | PBE | optimized geometry

Geometry as CIF:
```
data_PaCdAs
_symmetry_space_group_name_H-M 'F -4 3 m'
_symmetry_Int_Tables_number 216
_symmetry_space_group_name_Hall 'F -4 2 3'
_cell_length_a 6.714
_cell_length_b 6.714
_cell_length_c 6.714
_cell_angle_alpha 90.00
_cell_angle_beta 90.00
_cell_angle_gamma 90.00
loop_
_atom_site_label
_atom_site_type_symbol
_atom_site_fract_x
_atom_site_fract_y
_atom_site_fract_z
Pa1 Pa 0.000 0.000 0.000
Cd1 Cd 0.000 0.000 0.500
As1 As 0.250 0.250 0.750
```

Values from the calculation:
Total magnetization in μB per cell: 0.06
ΔE to the lowest computed polymorph in meV per atom: 0